(1)
A geometry-optimized InTc3Sn structure. Source: the Alexandria database, functional PBEsol.

- Calculated density: 7998 kg/m3
- Space-group type: Pm-3m
- Spin magnetization: 0.735 μB/atom
- Total DFT energy (no corrections): -6.040 eV per atom
- Density of states at the Fermi level: 4.48 states/eV/f.u.

a = 4.7844 Å, b = 4.7844 Å, c = 4.7844 Å
α = 90.00°, β = 90.00°, γ = 90.00°
With the nearest neighbours (Å) after each atom.
Fractional coordinates of all 5 atoms:
In1 0.0000 0.0000 0.0000  6 Tc 2.39
Tc1 0.0000 0.0000 0.5000  2 In 2.39
Tc2 0.0000 0.5000 0.0000  2 In 2.39
Tc3 0.5000 0.0000 0.0000  2 In 2.39
Sn1 0.5000 0.5000 0.5000  12 Tc 3.38

(2)
A geometry-optimized Sr3Al2 structure. Source: the Alexandria database, functional PBEsol.

- Calculated density: 3007 kg/m3
- Space-group type: P-3m1
- Spin magnetization: 0.000 μB/atom
- Total DFT energy (no corrections): -2.774 eV per atom
- Density of states at the Fermi level: 2.70 states/eV/f.u.

a = 5.4317 Å, b = 5.4317 Å, c = 6.8484 Å
α = 90.00°, β = 90.00°, γ = 120.00°
With the nearest neighbours (Å) after each atom.
Fractional coordinates of all 5 atoms:
Sr1 0.0000 0.0000 0.0000  6 Al 3.27
Sr2 0.3333 0.6667 0.3440  5 Al 3.30-3.55
Sr3 0.6667 0.3333 0.6560  5 Al 3.30-3.55
Al1 0.3333 0.6667 0.8627  8 Sr 3.27-3.55, 3 Al 3.66
Al2 0.6667 0.3333 0.1373  8 Sr 3.27-3.55, 3 Al 3.66

(3)
A geometry-optimized LaCdIr2 structure. Source: the Alexandria database, functional PBEsol.

- Calculated density: 14165 kg/m3
- Space-group type: P4/mmm
- Spin magnetization: 0.000 μB/atom
- Total DFT energy (no corrections): -6.736 eV per atom
- Density of states at the Fermi level: 1.95 states/eV/f.u.

a = 4.3821 Å, b = 4.3821 Å, c = 3.8810 Å
α = 90.00°, β = 90.00°, γ = 90.00°
With the nearest neighbours (Å) after each atom.
Fractional coordinates of all 4 atoms:
La1 0.0000 0.0000 0.0000  8 Ir 2.93, 4 Cd 3.10
Cd1 0.5000 0.5000 0.0000  8 Ir 2.93, 4 La 3.10
Ir1 0.0000 0.5000 0.5000  4 Cd 2.93, 4 La 2.93, 4 Ir 3.10
Ir2 0.5000 0.0000 0.5000  4 Cd 2.93, 4 La 2.93, 4 Ir 3.10

(4)
A geometry-optimized KBeGa2C structure. Source: the Alexandria database, functional PBEsol.

- Calculated density: 3029 kg/m3
- Space-group type: P4/mmm
- Spin magnetization: 0.440 μB/atom
- Total DFT energy (no corrections): -2.893 eV per atom
- Density of states at the Fermi level: 2.15 states/eV/f.u.

a = 4.2405 Å, b = 4.2405 Å, c = 6.0848 Å
α = 90.00°, β = 90.00°, γ = 90.00°
With the nearest neighbours (Å) after each atom.
Fractional coordinates of all 5 atoms:
K1 0.0000 0.0000 0.0000  4 C 3.00, 2 Be 3.04
Be1 0.0000 0.0000 0.5000  4 Ga 2.12
Ga1 0.0000 0.5000 0.5000  2 Be 2.12
Ga2 0.5000 0.0000 0.5000  2 Be 2.12
C1 0.5000 0.5000 0.0000  4 K 3.00